# PBE TlSiTc2Sb, optimized geometry
# Space-group type ... No. 123
data_TlSiTc2Sb
_cell_length_a 4.648
_cell_length_b 4.648
_cell_length_c 5.058
_cell_angle_alpha 90.00
_cell_angle_beta 90.00
_cell_angle_gamma 90.00
_symmetry_space_group_name_H-M 'P 1'
_symmetry_Int_Tables_number 1
_symmetry_space_group_name_Hall 'P 1'
loop_
_atom_site_label
_atom_site_type_symbol
_atom_site_fract_x
_atom_site_fract_y
_atom_site_fract_z
Tl1 Tl 0.000 0.000 0.000
Si1 Si 0.000 0.000 0.500
Tc1 Tc 0.000 0.500 0.500
Tc2 Tc 0.500 0.000 0.500
Sb1 Sb 0.500 0.500 0.000

# PBE Si2SbTe, optimized geometry
# ΔE to the lowest computed polymorph ... 0 meV per atom
# Space-group type ... No. 6
data_Si2SbTe
_cell_length_a 4.500
_cell_length_b 3.590
_cell_length_c 7.198
_cell_angle_alpha 90.00
_cell_angle_beta 108.01
_cell_angle_gamma 90.00
_symmetry_space_group_name_H-M 'P 1'
_symmetry_Int_Tables_number 1
_symmetry_space_group_name_Hall 'P 1'
loop_
_atom_site_label
_atom_site_type_symbol
_atom_site_fract_x
_atom_site_fract_y
_atom_site_fract_z
Si1 Si 0.000 0.000 0.000
Si2 Si 0.389 0.500 0.072
Sb1 Sb 0.800 0.000 0.308
Te1 Te 0.575 0.500 0.764

# PBE Si2SbTe, optimized geometry
# ΔE to the lowest computed polymorph ... 165 meV per atom
# Space-group type ... No. 44
data_Si2SbTe
_cell_length_a 7.833
_cell_length_b 7.833
_cell_length_c 7.833
_cell_angle_alpha 154.26
_cell_angle_beta 152.04
_cell_angle_gamma 38.37
_symmetry_space_group_name_H-M 'P 1'
_symmetry_Int_Tables_number 1
_symmetry_space_group_name_Hall 'P 1'
loop_
_atom_site_label
_atom_site_type_symbol
_atom_site_fract_x
_atom_site_fract_y
_atom_site_fract_z
Si1 Si 0.000 0.000 0.000
Si2 Si 0.881 0.381 0.500
Sb1 Sb 0.579 0.579 0.000
Te1 Te 0.293 0.793 0.500

# PBE Si2SbTe, optimized geometry
# ΔE to the lowest computed polymorph ... 390 meV per atom
# Space-group type ... No. 123
data_Si2SbTe
_cell_length_a 3.512
_cell_length_b 3.512
_cell_length_c 7.027
_cell_angle_alpha 90.00
_cell_angle_beta 90.00
_cell_angle_gamma 90.00
_symmetry_space_group_name_H-M 'P 1'
_symmetry_Int_Tables_number 1
_symmetry_space_group_name_Hall 'P 1'
loop_
_atom_site_label
_atom_site_type_symbol
_atom_site_fract_x
_atom_site_fract_y
_atom_site_fract_z
Si1 Si 0.000 0.000 0.241
Si2 Si 0.000 0.000 0.759
Sb1 Sb 0.500 0.500 0.000
Te1 Te 0.500 0.500 0.500

# PBE Si2SbTe, optimized geometry
# ΔE to the lowest computed polymorph ... 0 meV per atom
# Space-group type ... No. 99
data_Si2SbTe
_cell_length_a 3.338
_cell_length_b 3.338
_cell_length_c 9.290
_cell_angle_alpha 90.00
_cell_angle_beta 90.00
_cell_angle_gamma 90.00
_symmetry_space_group_name_H-M 'P 1'
_symmetry_Int_Tables_number 1
_symmetry_space_group_name_Hall 'P 1'
loop_
_atom_site_label
_atom_site_type_symbol
_atom_site_fract_x
_atom_site_fract_y
_atom_site_fract_z
Si1 Si 0.000 0.000 0.000
Si2 Si 0.500 0.500 0.066
Sb1 Sb 0.000 0.000 0.720
Te1 Te 0.500 0.500 0.342

# PBE Si2SbTe, optimized geometry
# ΔE to the lowest computed polymorph ... 494 meV per atom
# Space-group type ... No. 216
data_Si2SbTe
_cell_length_a 4.981
_cell_length_b 4.981
_cell_length_c 4.981
_cell_angle_alpha 60.00
_cell_angle_beta 60.00
_cell_angle_gamma 60.00
_symmetry_space_group_name_H-M 'P 1'
_symmetry_Int_Tables_number 1
_symmetry_space_group_name_Hall 'P 1'
loop_
_atom_site_label
_atom_site_type_symbol
_atom_site_fract_x
_atom_site_fract_y
_atom_site_fract_z
Si1 Si 0.000 0.000 0.000
Si2 Si 0.250 0.250 0.250
Sb1 Sb 0.500 0.500 0.500
Te1 Te 0.750 0.750 0.750

# PBE Si2SbTe, optimized geometry
# ΔE to the lowest computed polymorph ... 406 meV per atom
# Space-group type ... No. 65
data_Si2SbTe
_cell_length_a 3.556
_cell_length_b 3.556
_cell_length_c 7.774
_cell_angle_alpha 90.00
_cell_angle_beta 90.00
_cell_angle_gamma 109.56
_symmetry_space_group_name_H-M 'P 1'
_symmetry_Int_Tables_number 1
_symmetry_space_group_name_Hall 'P 1'
loop_
_atom_site_label
_atom_site_type_symbol
_atom_site_fract_x
_atom_site_fract_y
_atom_site_fract_z
Si1 Si 0.000 0.000 0.247
Si2 Si 0.000 0.000 0.753
Sb1 Sb 0.500 0.500 0.000
Te1 Te 0.500 0.500 0.500

# PBE Si2SbTe2, optimized geometry
# ΔE to the lowest computed polymorph ... 18 meV per atom
# Space-group type ... No. 127
data_Si2SbTe2
_cell_length_a 8.197
_cell_length_b 8.197
_cell_length_c 3.734
_cell_angle_alpha 90.00
_cell_angle_beta 90.00
_cell_angle_gamma 90.00
_symmetry_space_group_name_H-M 'P 1'
_symmetry_Int_Tables_number 1
_symmetry_space_group_name_Hall 'P 1'
loop_
_atom_site_label
_atom_site_type_symbol
_atom_site_fract_x
_atom_site_fract_y
_atom_site_fract_z
Si1 Si 0.189 0.311 0.000
Si2 Si 0.311 0.811 0.000
Si3 Si 0.689 0.189 0.000
Si4 Si 0.811 0.689 0.000
Sb1 Sb 0.000 0.000 0.000
Sb2 Sb 0.500 0.500 0.000
Te1 Te 0.150 0.650 0.500
Te2 Te 0.350 0.150 0.500
Te3 Te 0.650 0.850 0.500
Te4 Te 0.850 0.350 0.500

# PBE Si2SbTe, optimized geometry
# ΔE to the lowest computed polymorph ... 396 meV per atom
# Space-group type ... No. 225
data_Si2SbTe
_cell_length_a 4.972
_cell_length_b 4.972
_cell_length_c 4.972
_cell_angle_alpha 60.00
_cell_angle_beta 60.00
_cell_angle_gamma 60.00
_symmetry_space_group_name_H-M 'P 1'
_symmetry_Int_Tables_number 1
_symmetry_space_group_name_Hall 'P 1'
loop_
_atom_site_label
_atom_site_type_symbol
_atom_site_fract_x
_atom_site_fract_y
_atom_site_fract_z
Si1 Si 0.250 0.250 0.250
Si2 Si 0.750 0.750 0.750
Sb1 Sb 0.000 0.000 0.000
Te1 Te 0.500 0.500 0.500

# PBE Si2SbTe, optimized geometry
# ΔE to the lowest computed polymorph ... 253 meV per atom
# Space-group type ... No. 35
data_Si2SbTe
_cell_length_a 3.338
_cell_length_b 3.338
_cell_length_c 9.070
_cell_angle_alpha 90.00
_cell_angle_beta 90.00
_cell_angle_gamma 111.34
_symmetry_space_group_name_H-M 'P 1'
_symmetry_Int_Tables_number 1
_symmetry_space_group_name_Hall 'P 1'
loop_
_atom_site_label
_atom_site_type_symbol
_atom_site_fract_x
_atom_site_fract_y
_atom_site_fract_z
Si1 Si 0.000 0.000 0.000
Si2 Si 0.500 0.500 0.176
Sb1 Sb 0.500 0.500 0.783
Te1 Te 0.000 0.000 0.404

# PBE Si5Sb3Te12, optimized geometry
# Space-group type ... No. 230
data_Si5Sb3Te12
_cell_length_a 14.880
_cell_length_b 14.880
_cell_length_c 14.880
_cell_angle_alpha 109.47
_cell_angle_beta 109.47
_cell_angle_gamma 109.47
_symmetry_space_group_name_H-M 'P 1'
_symmetry_Int_Tables_number 1
_symmetry_space_group_name_Hall 'P 1'
loop_
_atom_site_label
_atom_site_type_symbol
_atom_site_fract_x
_atom_site_fract_y
_atom_site_fract_z
Si1 Si 0.000 0.000 0.000
Si2 Si 0.000 0.000 0.500
Si3 Si 0.000 0.500 0.000
Si4 Si 0.000 0.500 0.500
Si5 Si 0.125 0.750 0.875
Si6 Si 0.125 0.875 0.250
Si7 Si 0.250 0.125 0.875
Si8 Si 0.250 0.625 0.375
Si9 Si 0.375 0.250 0.625
Si10 Si 0.375 0.625 0.750
Si11 Si 0.500 0.000 0.000
Si12 Si 0.500 0.000 0.500
Si13 Si 0.500 0.500 0.000
Si14 Si 0.500 0.500 0.500
Si15 Si 0.625 0.375 0.250
Si16 Si 0.625 0.750 0.375
Si17 Si 0.750 0.375 0.625
Si18 Si 0.750 0.875 0.125
Si19 Si 0.875 0.125 0.750
Si20 Si 0.875 0.250 0.125
Sb1 Sb 0.125 0.250 0.375
Sb2 Sb 0.125 0.375 0.750
Sb3 Sb 0.250 0.375 0.125
Sb4 Sb 0.250 0.875 0.625
Sb5 Sb 0.375 0.125 0.250
Sb6 Sb 0.375 0.750 0.125
Sb7 Sb 0.625 0.250 0.875
Sb8 Sb 0.625 0.875 0.750
Sb9 Sb 0.750 0.125 0.375
Sb10 Sb 0.750 0.625 0.875
Sb11 Sb 0.875 0.625 0.250
Sb12 Sb 0.875 0.750 0.625
Te1 Te 0.031 0.212 0.121
Te2 Te 0.031 0.319 0.910
Te3 Te 0.090 0.621 0.409
Te4 Te 0.090 0.969 0.681
Te5 Te 0.091 0.712 0.681
Te6 Te 0.091 0.879 0.410
Te7 Te 0.121 0.031 0.212
Te8 Te 0.121 0.590 0.909
Te9 Te 0.181 0.212 0.591
Te10 Te 0.181 0.469 0.590
Te11 Te 0.212 0.121 0.031
Te12 Te 0.212 0.591 0.181
Te13 Te 0.288 0.319 0.909
Te14 Te 0.288 0.469 0.379
Te15 Te 0.319 0.909 0.288
Te16 Te 0.319 0.910 0.031
Te17 Te 0.379 0.288 0.469
Te18 Te 0.379 0.591 0.910
Te19 Te 0.409 0.090 0.621
Te20 Te 0.409 0.819 0.788
Te21 Te 0.410 0.091 0.879
Te22 Te 0.410 0.819 0.531
Te23 Te 0.469 0.379 0.288
Te24 Te 0.469 0.590 0.181
Te25 Te 0.531 0.410 0.819
Te26 Te 0.531 0.621 0.712
Te27 Te 0.590 0.181 0.469
Te28 Te 0.590 0.909 0.121
Te29 Te 0.591 0.181 0.212
Te30 Te 0.591 0.910 0.379
Te31 Te 0.621 0.409 0.090
Te32 Te 0.621 0.712 0.531
Te33 Te 0.681 0.090 0.969
Te34 Te 0.681 0.091 0.712
Te35 Te 0.712 0.531 0.621
Te36 Te 0.712 0.681 0.091
Te37 Te 0.788 0.409 0.819
Te38 Te 0.788 0.879 0.969
Te39 Te 0.819 0.531 0.410
Te40 Te 0.819 0.788 0.409
Te41 Te 0.879 0.410 0.091
Te42 Te 0.879 0.969 0.788
Te43 Te 0.909 0.121 0.590
Te44 Te 0.909 0.288 0.319
Te45 Te 0.910 0.031 0.319
Te46 Te 0.910 0.379 0.591
Te47 Te 0.969 0.681 0.090
Te48 Te 0.969 0.788 0.879

# PBE Si4SbTe, optimized geometry
# Space-group type ... No. 216
data_Si4SbTe
_cell_length_a 5.451
_cell_length_b 5.451
_cell_length_c 5.451
_cell_angle_alpha 60.00
_cell_angle_beta 60.00
_cell_angle_gamma 60.00
_symmetry_space_group_name_H-M 'P 1'
_symmetry_Int_Tables_number 1
_symmetry_space_group_name_Hall 'P 1'
loop_
_atom_site_label
_atom_site_type_symbol
_atom_site_fract_x
_atom_site_fract_y
_atom_site_fract_z
Si1 Si 0.124 0.124 0.124
Si2 Si 0.124 0.124 0.628
Si3 Si 0.124 0.628 0.124
Si4 Si 0.628 0.124 0.124
Sb1 Sb 0.500 0.500 0.500
Te1 Te 0.750 0.750 0.750

Number 1: formation energy from raw total energies 1015 meV per atom, ρ 8.36 Mg/m³. Number 2: formation energy from raw total energies 180 meV per atom, ρ 4.59 Mg/m³. Number 3: formation energy from raw total energies 344 meV per atom, ρ 5.19 Mg/m³. Number 4: formation energy from raw total energies 569 meV per atom, ρ 5.85 Mg/m³. Number 5: formation energy from raw total energies 179 meV per atom, ρ 4.90 Mg/m³. Number 6: formation energy from raw total energies 673 meV per atom, ρ 5.81 Mg/m³. Number 7: formation energy from raw total energies 585 meV per atom, ρ 5.48 Mg/m³. Number 8: formation energy from raw total energies 370 meV per atom, ρ 5.73 Mg/m³. Number 9: formation energy from raw total energies 576 meV per atom, ρ 5.84 Mg/m³. Number 10: formation energy from raw total energies 432 meV per atom, ρ 5.39 Mg/m³. Number 11: formation energy from raw total energies 136 meV per atom, ρ 5.33 Mg/m³. Number 12: formation energy from raw total energies 594 meV per atom, ρ 5.24 Mg/m³.